1.
Density functional theory data (GGA-PBE) for a relaxed CaNb4Te8 crystal.

Lattice parameters (Å, degrees): 9.2835 9.2835 9.2835 47.13 47.13 47.13
Fractional positions:
Ca 0.0000 0.0000 0.0000
Nb 0.0000 0.0000 0.5000
Nb 0.0000 0.5000 0.0000
Nb 0.5000 0.0000 0.0000
Nb 0.5000 0.5000 0.5000
Te 0.2412 0.2412 0.2412
Te 0.2442 0.7396 0.7396
Te 0.2604 0.2604 0.7558
Te 0.2604 0.7558 0.2604
Te 0.7396 0.2442 0.7396
Te 0.7396 0.7396 0.2442
Te 0.7558 0.2604 0.2604
Te 0.7588 0.7588 0.7588

Calculated values
* raw formation energy: -0.537 eV/atom
* energy: -74.39 eV for the cell shown

2.
Density functional theory data (GGA-PBE) for a relaxed La9DyCd2 crystal.

Lattice parameters (Å, degrees): 5.1096 5.1096 15.4086 90.00 90.00 90.00
Fractional positions:
La 0.0000 0.0000 0.0000
La 0.0000 0.0000 0.3341
La 0.0000 0.0000 0.6659
La 0.0000 0.5000 0.1709
La 0.0000 0.5000 0.5000
La 0.0000 0.5000 0.8291
La 0.5000 0.0000 0.1709
La 0.5000 0.0000 0.5000
La 0.5000 0.0000 0.8291
Dy 0.5000 0.5000 0.0000
Cd 0.5000 0.5000 0.3383
Cd 0.5000 0.5000 0.6617

Calculated values
* DFT formation energy: -1.0 eV/f.u.
* energy: -51.76 eV for the cell shown

3.
Density functional theory data (GGA-PBE) for a relaxed Tb8C3S4N crystal.

Lattice parameters (Å, degrees): 7.6729 7.6729 7.6729 57.94 57.94 57.94
Fractional positions:
Tb 0.2365 0.7377 0.7377
Tb 0.2385 0.2385 0.2385
Tb 0.2623 0.2623 0.7635
Tb 0.2623 0.7635 0.2623
Tb 0.7377 0.2365 0.7377
Tb 0.7377 0.7377 0.2365
Tb 0.7615 0.7615 0.7615
Tb 0.7635 0.2623 0.2623
C 0.0000 0.0000 0.5000
C 0.0000 0.5000 0.0000
C 0.5000 0.0000 0.0000
S 0.0000 0.0000 0.0000
S 0.0000 0.5000 0.5000
S 0.5000 0.0000 0.5000
S 0.5000 0.5000 0.0000
N 0.5000 0.5000 0.5000

Calculated values
* raw formation energy: -1.434 eV/atom
* energy: -112.50 eV for the cell shown

Computed values of theoretical density (unit: g cm⁻³) for the preceding records, in sequence: 6.05; 6.76; 7.91.